(1)
NaLiMgPd | Alexandria | PBE-GGA | optimized geometry; ΔE_f = -0.216 eV/atom; symmetry = F-43m, No. 216; VASP energy = -2.72 eV/atom
1.0
6.655 0.000 0.000
0.000 6.655 0.000
0.000 0.000 6.655
Na Li Mg Pd
4 4 4 4
Direct
0.000 0.000 0.000 Na
0.000 0.500 0.500 Na
0.500 0.000 0.500 Na
0.500 0.500 0.000 Na
0.250 0.250 0.750 Li
0.250 0.750 0.250 Li
0.750 0.250 0.250 Li
0.750 0.750 0.750 Li
0.250 0.250 0.250 Mg
0.250 0.750 0.750 Mg
0.750 0.250 0.750 Mg
0.750 0.750 0.250 Mg
0.000 0.000 0.500 Pd
0.000 0.500 0.000 Pd
0.500 0.000 0.000 Pd
0.500 0.500 0.500 Pd

***

(2)
NaLiPrMg | Alexandria | PBE-GGA | optimized geometry; ΔE_f = 0.154 eV/atom; symmetry = F-43m, No. 216; VASP energy = -2.25 eV/atom
1.0
7.566 0.000 0.000
0.000 7.566 0.000
0.000 0.000 7.566
Na Li Pr Mg
4 4 4 4
Direct
0.000 0.000 0.000 Na
0.000 0.500 0.500 Na
0.500 0.000 0.500 Na
0.500 0.500 0.000 Na
0.000 0.000 0.500 Li
0.000 0.500 0.000 Li
0.500 0.000 0.000 Li
0.500 0.500 0.500 Li
0.250 0.250 0.750 Pr
0.250 0.750 0.250 Pr
0.750 0.250 0.250 Pr
0.750 0.750 0.750 Pr
0.250 0.250 0.250 Mg
0.250 0.750 0.750 Mg
0.750 0.250 0.750 Mg
0.750 0.750 0.250 Mg

***

Which of these has the highest VASP energy? NaLiPrMg

***

Look up the ΔE_f of the first one. -0.216 eV/atom

***

Copy entry 2 word for word.
NaLiPrMg | Alexandria | PBE-GGA | optimized geometry; ΔE_f = 0.154 eV/atom; symmetry = F-43m, No. 216; VASP energy = -2.25 eV/atom
1.0
7.566 0.000 0.000
0.000 7.566 0.000
0.000 0.000 7.566
Na Li Pr Mg
4 4 4 4
Direct
0.000 0.000 0.000 Na
0.000 0.500 0.500 Na
0.500 0.000 0.500 Na
0.500 0.500 0.000 Na
0.000 0.000 0.500 Li
0.000 0.500 0.000 Li
0.500 0.000 0.000 Li
0.500 0.500 0.500 Li
0.250 0.250 0.750 Pr
0.250 0.750 0.250 Pr
0.750 0.250 0.250 Pr
0.750 0.750 0.750 Pr
0.250 0.250 0.250 Mg
0.250 0.750 0.750 Mg
0.750 0.250 0.750 Mg
0.750 0.750 0.250 Mg